Material: BaReSb3
Method: DFT, PBE
State: optimized geometry

## Properties
Space-group type: Pm-3m
Distance to the lowest polymorph of the same formula (eV/f.u.): 12.03
Formation energy (no corrections) (eV/atom): 2.55

Unit cell a=5.9431 b=5.9431 c=5.9431 alpha=90.00 beta=90.00 gamma=90.00
Fractional positions:
Re  0.5000  0.5000  0.5000
Ba  0.0000  0.0000  0.0000
Sb  0.0000  0.5000  0.0000
Sb  0.0000  0.0000  0.5000
Sb  0.5000  0.0000  0.0000


Material: K3TeAs
Method: DFT, PBE
State: optimized geometry

## Properties
Space-group type: P-1
Distance to the lowest polymorph of the same formula (eV/f.u.): 0.00
Formation energy (no corrections) (eV/atom): -0.68

Unit cell a=4.6747 b=9.5168 c=9.4897 alpha=109.14 beta=90.00 gamma=104.16
Fractional positions:
K  0.1017  0.2363  0.3374
K  0.4322  0.8990  0.7360
K  0.6120  0.2552  0.6855
K  0.9418  0.9176  0.0841
K  0.2390  0.5112  0.0251
K  0.8049  0.6428  0.3964
Te  0.4382  0.9102  0.3631
Te  0.6056  0.2439  0.0584
As  0.2434  0.5192  0.6656
As  0.8010  0.6349  0.7559


Material: LaPm4Tm4
Method: DFT, PBE
State: optimized geometry

## Properties
Space-group type: I4/mmm
Energy relative to the elements (eV/atom): 0.025

Unit cell a=5.0492 b=8.0387 c=8.0387 alpha=84.34 beta=71.70 gamma=71.70
Fractional positions:
La  0.0000  0.0000  0.0000
Pm  0.6684  0.3317  0.3315
Pm  0.3316  0.6683  0.6685
Pm  0.9999  0.6685  0.3317
Pm  0.0001  0.3315  0.6683
Tm  0.6680  0.6642  0.9999
Tm  0.3320  0.3358  0.0001
Tm  0.6678  0.0001  0.6642
Tm  0.3322  0.9999  0.3358


Material: Gd2MgGa
Method: DFT, PBE
State: optimized geometry

## Properties
Space-group type: R-3m
Energy relative to the elements (eV/atom): 0.165

Unit cell a=3.3476 b=3.3476 c=11.8477 alpha=81.88 beta=81.88 gamma=60.00
Fractional positions:
Mg  0.5000  0.5000  0.5000
Gd  0.0865  0.0865  0.7406
Gd  0.9135  0.9135  0.2594
Ga  0.0000  0.0000  0.0000


Material: YRu3C
Method: DFT, PBE
State: optimized geometry

## Properties
Space-group type: Fmm2
Energy relative to the elements (eV/atom): -0.057

Unit cell a=6.5422 b=5.1614 c=5.1614 alpha=111.57 beta=104.45 gamma=104.45
Fractional positions:
Y  0.8836  0.1184  0.1112
Y  0.3463  0.8503  0.8431
Ru  0.1149  0.7304  0.2310
Ru  0.6148  0.9867  0.4818
Ru  0.1149  0.2308  0.7306
Ru  0.6151  0.4796  0.9747
Ru  0.8528  0.5768  0.6220
Ru  0.3770  0.3394  0.3847
C  0.3686  0.5666  0.1483
C  0.8613  0.8132  0.3948


Material: CrRu3
Method: DFT, PBE
State: optimized geometry

## Properties
Space-group type: Pmmn
Energy relative to the elements (eV/atom): 0.059

Unit cell a=5.3594 b=4.6569 c=12.9340 alpha=90.00 beta=90.00 gamma=90.00
Fractional positions:
Cr  0.2500  0.0071  0.2500
Cr  0.2500  0.6559  0.5895
Cr  0.2500  0.6559  0.9105
Cr  0.7500  0.9929  0.7500
Cr  0.7500  0.3441  0.0894
Cr  0.7500  0.3441  0.4106
Ru  0.9978  0.1638  0.5858
Ru  0.9978  0.1638  0.9141
Ru  0.0002  0.4986  0.2500
Ru  0.9998  0.5014  0.7500
Ru  0.0022  0.8362  0.0858
Ru  0.0022  0.8362  0.4142
Ru  0.2500  0.9933  0.7500
Ru  0.2500  0.3382  0.0835
Ru  0.2500  0.3382  0.4165
Ru  0.5022  0.1638  0.5858
Ru  0.5022  0.1638  0.9141
Ru  0.4998  0.4986  0.2500
Ru  0.5002  0.5014  0.7500
Ru  0.4978  0.8362  0.0858
Ru  0.4978  0.8362  0.4142
Ru  0.7500  0.0067  0.2500
Ru  0.7500  0.6618  0.5835
Ru  0.7500  0.6618  0.9164


Material: La2Sm6Ho3Er
Method: DFT, PBE
State: optimized geometry

## Properties
Space-group type: C2/m
Energy relative to the elements (eV/atom): 0.021

Unit cell a=6.2633 b=6.2633 c=11.9781 alpha=95.01 beta=95.01 gamma=120.01
Fractional positions:
La  0.3333  0.6667  0.0000
La  0.6667  0.3333  0.0000
Sm  0.9151  0.5834  0.7453
Sm  0.7532  0.7532  0.2549
Sm  0.0849  0.4166  0.2547
Sm  0.5834  0.9151  0.7453
Sm  0.2468  0.2468  0.7451
Sm  0.4166  0.0849  0.2547
Ho  0.1662  0.8338  0.5000
Ho  0.8338  0.1662  0.5000
Ho  0.5000  0.5000  0.5000
Er  0.0000  0.0000  0.0000


Material: Tm6Cd3Ni
Method: DFT, PBE
State: optimized geometry

## Properties
Space-group type: Pnnm
Energy relative to the elements (eV/atom): -0.196

Unit cell a=5.0702 b=8.9938 c=11.1806 alpha=90.00 beta=90.00 gamma=90.00
Fractional positions:
Tm  0.4999  0.1567  0.9229
Tm  0.4999  0.1905  0.5925
Tm  0.4999  0.4855  0.2670
Tm  0.5001  0.5145  0.7330
Tm  0.5001  0.8095  0.4075
Tm  0.5001  0.8433  0.0771
Tm  0.9999  0.3433  0.4229
Tm  0.9999  0.3095  0.0925
Tm  0.9999  0.0145  0.7670
Tm  0.0001  0.9855  0.2330
Tm  0.0001  0.6905  0.9075
Tm  0.0001  0.6567  0.5771
Cd  0.4999  0.8472  0.7178
Cd  0.5000  0.5000  0.0000
Cd  0.5001  0.1528  0.2822
Cd  0.9999  0.6528  0.2178
Cd  0.0000  0.0000  0.5000
Cd  0.0001  0.3472  0.7822
Ni  0.5000  0.5000  0.5000
Ni  0.0000  0.0000  0.0000


Material: InReBr2
Method: DFT, PBE
State: optimized geometry

## Properties
Space-group type: Pmmm
Distance to the lowest polymorph of the same formula (eV/f.u.): 2.92
Formation energy (no corrections) (eV/atom): 0.90

Unit cell a=3.2424 b=5.8155 c=4.7529 alpha=90.00 beta=90.00 gamma=90.00
Fractional positions:
Re  0.0000  0.5000  0.5000
Br  0.0000  0.0000  0.0000
Br  0.5000  0.5000  0.0000
In  0.5000  0.0000  0.5000


Material: AcTbSe2O8
Method: DFT, PBE
State: optimized geometry

## Properties
Space-group type: P-3
Formation energy (no corrections) (eV/atom): -1.73

Unit cell a=5.8917 b=5.8917 c=7.3802 alpha=90.00 beta=90.00 gamma=120.00
Fractional positions:
Ac  0.0000  0.0000  0.0000
Tb  0.0000  0.0000  0.5000
Se  0.6667  0.3333  0.2373
Se  0.3333  0.6667  0.7627
O  0.3333  0.6667  0.9899
O  0.3134  0.1583  0.2807
O  0.8417  0.1551  0.2807
O  0.6667  0.3333  0.0101
O  0.1583  0.8449  0.7193
O  0.6866  0.8417  0.7193
O  0.1551  0.3134  0.7193
O  0.8449  0.6866  0.2807


Material: TaTi3As
Method: DFT, PBE
State: optimized geometry

## Properties
Space-group type: Pm-3m
Energy relative to the elements (eV/atom): 0.319
Distance to the lowest polymorph of the same formula (eV/f.u.): 0.00

Unit cell a=4.6274 b=4.6274 c=4.6274 alpha=90.00 beta=90.00 gamma=90.00
Fractional positions:
As  0.0000  0.0000  0.0000
Ti  0.0000  0.5000  0.0000
Ti  0.0000  0.0000  0.5000
Ti  0.5000  0.0000  0.0000
Ta  0.5000  0.5000  0.5000


Material: CdPd2O2
Method: DFT, PBE
State: optimized geometry

## Properties
Space-group type: I4/mmm
Distance to the lowest polymorph of the same formula (eV/f.u.): 1.14
Formation energy (no corrections) (eV/atom): 0.20

Unit cell a=4.2109 b=4.2109 c=4.9860 alpha=65.02 beta=65.02 gamma=90.00
Fractional positions:
O  0.4101  0.4101  0.1797
O  0.5899  0.5899  0.8203
Pd  0.7500  0.2500  0.5000
Pd  0.2500  0.7500  0.5000
Cd  0.0000  0.0000  0.0000


What are the final energy values for these records? In order: -2.798 -2.901 -4.621 -8.031 -8.760 -9.304 -4.684 -3.732 -3.734 -6.349 -7.718 -4.039 eV/atom.